9
Lattice="4.6120 -8.7540 0.0000 4.6120 8.7540 0.0000 0.0000 0.0000 3.6098" Properties=species:S:1:pos:R:3 comment="PBE-GGA Nd6DySc2, optimized geometry" spacegroup="Cmmm, No. 65" volume_a3_per_cell=291.48 relative_energy_mev_per_atom=0 delta_e_f_ev_per_atom=0.1620 dft_energy_ev_per_atom=-4.93 pbc="T T T"
Nd 1.6442 2.9177 0.0000
Nd 1.6789 0.0000 1.8049
Nd 1.6442 -2.9177 0.0000
Nd 7.5799 2.9177 0.0000
Nd 7.5451 0.0000 1.8049
Nd 7.5799 -2.9177 0.0000
Dy 4.6120 0.0000 0.0000
Sc 4.6120 3.1024 1.8049
Sc 4.6120 -3.1024 1.8049

***

14
Lattice="4.2098 2.4305 7.1001 -4.2098 2.4305 7.1001 0.0000 -4.8611 7.1001" Properties=species:S:1:pos:R:3 comment="PBE-GGA Nd3DySc3, optimized geometry" spacegroup="R-3, No. 148" volume_a3_per_cell=435.90 delta_e_f_ev_per_atom=0.1799 dft_energy_ev_per_atom=-5.23 pbc="T T T"
Nd -0.6270 -2.1081 6.0514
Nd -1.5122 1.5971 6.0514
Nd -2.1392 -0.5111 15.2488
Nd 2.1392 0.5111 6.0514
Nd 1.5122 -1.5971 15.2488
Nd 0.6270 2.1081 15.2488
Dy 0.0000 0.0000 3.3220
Dy 0.0000 0.0000 17.9782
Sc -0.9042 -1.6410 9.4620
Sc -1.8733 -0.0374 11.8382
Sc -0.9691 1.6036 9.4620
Sc 0.9690 -1.6036 11.8381
Sc 1.8733 0.0374 9.4620
Sc 0.9042 1.6410 11.8381

***

11
Lattice="9.0393 -2.5064 0.0000 9.0393 2.5064 0.0000 -2.0849 0.0000 7.6319" Properties=species:S:1:pos:R:3 comment="PBE-GGA Nd4Dy5Sc2, optimized geometry" spacegroup="C2/m, No. 12" volume_a3_per_cell=345.82 relative_energy_mev_per_atom=0 delta_e_f_ev_per_atom=0.0408 dft_energy_ev_per_atom=-4.94 pbc="T T T"
Nd 0.3316 0.0000 1.6960
Nd 4.5046 0.0000 4.5423
Nd 11.4892 0.0000 3.0896
Nd 15.6622 0.0000 5.9359
Dy 1.0151 0.0000 5.2399
Dy 3.8276 0.0000 0.9900
Dy 7.9969 0.0000 3.8159
Dy 12.1662 0.0000 6.6419
Dy 14.9787 0.0000 2.3920
Sc 7.3116 0.0000 0.3594
Sc 8.6823 0.0000 7.2725

***

11
Lattice="9.0321 -2.5029 0.0000 9.0321 2.5029 0.0000 -2.0977 0.0000 7.6504" Properties=species:S:1:pos:R:3 comment="PBE-GGA Nd2Dy8Sc, optimized geometry" spacegroup="C2/m, No. 12" volume_a3_per_cell=345.90 relative_energy_mev_per_atom=0 delta_e_f_ev_per_atom=0.0307 dft_energy_ev_per_atom=-4.76 pbc="T T T"
Nd 3.7966 0.0000 1.0484
Nd 12.1698 0.0000 6.6019
Dy 0.3155 0.0000 1.7582
Dy 0.9908 0.0000 5.1652
Dy 4.5442 0.0000 4.5233
Dy 7.3188 0.0000 0.3939
Dy 8.6477 0.0000 7.2565
Dy 11.4222 0.0000 3.1271
Dy 14.9757 0.0000 2.4851
Dy 15.6509 0.0000 5.8922
Sc 7.9832 0.0000 3.8252

***

11
Lattice="-2.6905 4.0772 7.7931 2.6905 -4.0772 7.7931 2.6905 4.0772 -7.7931" Properties=species:S:1:pos:R:3 comment="PBE-GGA NdDy8Sc2, optimized geometry" spacegroup="Immm, No. 71" volume_a3_per_cell=341.95 relative_energy_mev_per_atom=0 delta_e_f_ev_per_atom=0.1250 dft_energy_ev_per_atom=-4.81 pbc="T T T"
Nd 0.0000 0.0000 0.0000
Dy 2.6905 -1.6692 5.5623
Dy 2.6905 0.0000 2.5606
Dy 2.6905 2.4478 0.0000
Dy 0.0000 2.4080 2.2308
Dy 2.6905 1.6692 5.5623
Dy 0.0000 1.6294 7.7931
Dy 0.0000 4.0772 5.2325
Dy 0.0000 5.7464 2.2308
Sc 0.0000 0.0000 4.6805
Sc 0.0000 0.0000 10.9057

***

16
Lattice="7.0882 0.0000 0.0000 0.0000 14.1858 0.0000 0.0000 0.0000 4.9972" Properties=species:S:1:pos:R:3 comment="PBE-GGA Nd2Dy5Sc, optimized geometry" spacegroup="Pbam, No. 55" volume_a3_per_cell=502.48 delta_e_f_ev_per_atom=0.0328 dft_energy_ev_per_atom=-4.83 pbc="T T T"
Nd 1.7421 1.7515 0.0000
Nd 1.8020 8.8445 0.0000
Nd 5.2862 5.3414 0.0000
Nd 5.3461 12.4343 0.0000
Dy 0.0000 7.0929 2.4986
Dy 0.0245 10.6683 2.4986
Dy 1.7608 5.3358 0.0000
Dy 1.7833 12.4287 0.0000
Dy 3.5196 3.5754 2.4986
Dy 3.5441 0.0000 2.4986
Dy 3.5686 10.6105 2.4986
Dy 5.3049 1.7571 0.0000
Dy 5.3274 8.8500 0.0000
Dy 7.0637 3.5176 2.4986
Sc 0.0000 0.0000 2.4986
Sc 3.5441 7.0929 2.4986

***

20
Lattice="9.3893 0.0000 0.0000 -3.9849 8.5054 0.0000 -2.7308 -4.2269 7.9523" Properties=species:S:1:pos:R:3 comment="PBE-GGA Nd5Dy3Sc2, optimized geometry" spacegroup="P-1, No. 2" volume_a3_per_cell=635.07 delta_e_f_ev_per_atom=0.0415 dft_energy_ev_per_atom=-4.99 pbc="T T T"
Nd -1.0421 -0.8190 2.7421
Nd -2.3456 0.0533 5.9747
Nd -0.9688 5.1062 1.2309
Nd 2.3709 0.0306 1.9750
Nd 0.9627 0.8831 5.1908
Nd 1.7110 3.3954 2.7615
Nd 0.3028 4.2479 5.9773
Nd 3.6425 -0.8277 6.7214
Nd 5.0193 4.2252 1.9776
Nd 3.7159 5.0975 5.2103
Dy -0.3324 1.7162 0.4226
Dy -2.9978 3.4071 6.7444
Dy -2.3545 5.9353 4.3995
Dy 5.0282 -1.6568 3.5528
Dy 5.6715 0.8714 1.2079
Dy 3.0062 2.5623 7.5297
Sc -1.7391 2.5484 3.5810
Sc 0.3065 -1.6685 7.5449
Sc 2.3673 5.9470 0.4074
Sc 4.4128 1.7300 4.3713

***

18
Lattice="5.2603 -4.9061 0.0000 5.2603 4.9061 0.0000 -5.2341 0.0000 10.7186" Properties=species:S:1:pos:R:3 comment="PBE-GGA NdDy6Sc2, optimized geometry" spacegroup="C2/c, No. 15" volume_a3_per_cell=553.25 relative_energy_mev_per_atom=0 delta_e_f_ev_per_atom=0.1956 dft_energy_ev_per_atom=-4.81 pbc="T T T"
Nd 1.3348 2.8921 8.0390
Nd 3.9518 -2.8921 2.6797
Dy 4.5171 3.8268 1.1185
Dy 3.3865 3.8268 4.2409
Dy 1.3168 1.4362 4.6150
Dy 2.7754 0.4875 1.5563
Dy 0.1584 -0.4875 6.9156
Dy -1.3002 -1.4362 9.9743
Dy 6.5868 1.4362 0.7443
Dy 5.1282 0.4875 3.8030
Dy 2.5111 -0.4875 9.1623
Dy 3.9698 -1.4362 6.1036
Dy 1.9001 -3.8268 6.4778
Dy 0.7695 -3.8268 9.6002
Sc -1.2912 1.6051 9.2081
Sc 1.3259 -1.6051 3.8488
Sc 3.9607 1.6051 6.8699
Sc 6.5777 -1.6051 1.5106

***

18
Lattice="8.2056 -5.7575 0.0000 8.2056 5.7575 0.0000 -0.7969 0.0000 5.9091" Properties=species:S:1:pos:R:3 comment="PBE-GGA Nd3Dy4Sc2, optimized geometry" spacegroup="C2/c, No. 15" volume_a3_per_cell=558.34 relative_energy_mev_per_atom=69 delta_e_f_ev_per_atom=0.1106 dft_energy_ev_per_atom=-4.93 pbc="T T T"
Nd 7.6080 4.6032 4.4318
Nd 4.6833 1.3551 5.4670
Nd 5.0818 -1.3551 2.5124
Nd 10.5326 1.3551 3.3967
Nd 10.9311 -1.3551 0.4421
Nd 8.0064 -4.6032 1.4773
Dy 3.1682 1.3825 2.1941
Dy 6.9696 1.5491 2.8308
Dy 2.7697 -1.3825 5.1487
Dy 9.0432 1.5491 0.1237
Dy 6.5711 -1.5491 5.7854
Dy 12.8446 1.3825 0.7604
Dy 8.6448 -1.5491 3.0783
Dy 12.4462 -1.3825 3.7150
Sc 6.2709 4.1869 1.0738
Sc 9.7420 4.1869 1.8808
Sc 5.8724 -4.1869 4.0283
Sc 9.3435 -4.1869 4.8353

***

13
Lattice="6.5035 -5.8607 0.0000 6.5035 5.8607 0.0000 -2.4589 0.0000 5.6160" Properties=species:S:1:pos:R:3 comment="PBE-GGA Nd8Dy3Sc2, optimized geometry" spacegroup="C2/m, No. 12" volume_a3_per_cell=428.11 relative_energy_mev_per_atom=0 delta_e_f_ev_per_atom=0.1659 dft_energy_ev_per_atom=-4.80 pbc="T T T"
Nd -0.0070 0.0000 1.6332
Nd 2.2385 2.9623 4.7145
Nd 3.4557 0.0000 2.4480
Nd 8.3096 2.9623 0.9015
Nd 2.2385 -2.9623 4.7145
Nd 7.0924 0.0000 3.1680
Nd 8.3096 -2.9623 0.9015
Nd 10.5551 0.0000 3.9828
Dy 5.2741 2.9227 2.8080
Dy 6.5035 0.0000 0.0000
Dy 5.2741 -2.9227 2.8080
Sc 0.6520 0.0000 4.7720
Sc 9.8961 0.0000 0.8440

***

13
Lattice="3.5003 2.0209 9.8017 -3.5003 2.0209 9.8017 0.0000 -4.0417 9.8017" Properties=species:S:1:pos:R:3 comment="PBE-GGA Nd8DySc4, optimized geometry" spacegroup="R-3m, No. 166" volume_a3_per_cell=416.00 delta_e_f_ev_per_atom=0.2366 dft_energy_ev_per_atom=-5.00 pbc="T T T"
Nd 0.0000 0.0000 6.2058
Nd -1.8495 -1.0678 16.9356
Nd 0.0000 -2.1356 12.4695
Nd -1.8495 1.0678 12.4695
Nd 1.8495 -1.0678 16.9356
Nd 0.0000 2.1356 16.9356
Nd 1.8495 1.0678 12.4695
Nd 0.0000 0.0000 23.1993
Dy 0.0000 0.0000 14.7025
Sc 0.0000 0.0000 0.0000
Sc -1.7501 -1.0104 9.8017
Sc -1.7501 1.0104 19.6034
Sc 0.0000 2.0209 9.8017

***

15
Lattice="3.5600 0.0000 0.0000 0.0000 4.8254 0.0000 -1.7751 0.0000 27.5813" Properties=species:S:1:pos:R:3 comment="PBE-GGA NdDy12Sc2, optimized geometry" spacegroup="P2/m, No. 10" volume_a3_per_cell=473.81 delta_e_f_ev_per_atom=0.1172 dft_energy_ev_per_atom=-4.73 pbc="T T T"
Nd 0.0000 0.0000 0.0000
Dy -0.0091 0.0000 3.6475
Dy -0.0059 0.0000 10.5451
Dy 0.0061 2.4127 15.2413
Dy 0.0157 2.4127 18.7311
Dy 0.0162 2.4127 22.1398
Dy 0.0078 2.4127 25.7184
Dy 1.7772 2.4127 1.8629
Dy 1.7688 2.4127 5.4415
Dy 1.7693 2.4127 8.8502
Dy 1.7789 2.4127 12.3400
Dy 1.7908 0.0000 17.0362
Dy 1.7941 0.0000 23.9338
Sc -0.0109 0.0000 7.1367
Sc 1.7959 0.0000 20.4446